[1]
{
  "formula": "V5Zn",
  "functional": "GGA-PBE",
  "state": "optimized geometry",
  "spacegroup": "No. 187",
  "magnetic_moment_mub_per_fu": 0.000,
  "dft_energy_ev_per_atom": -7.60,
  "lattice_angstrom": [[2.6240, 0.0000, 0.0000], [-1.3120, 2.2724, 0.0000], [0.0000, 0.0000, 13.9729]],
  "species": ["V", "V", "V", "V", "V", "Zn"],
  "frac_coords": [[0.0000, 0.0000, 0.0000], [0.0000, 0.0000, 0.3340], [0.0000, 0.0000, 0.6660], [0.3333, 0.6667, 0.1670], [0.3333, 0.6667, 0.8330], [0.3333, 0.6667, 0.5000]]
}



[2]
{
  "formula": "V4Zn",
  "functional": "GGA-PBE",
  "state": "optimized geometry",
  "spacegroup": "No. 139",
  "magnetic_moment_mub_per_fu": 0.000,
  "dft_energy_ev_per_atom": -7.52,
  "lattice_angstrom": [[-1.5274, 1.5274, 7.3021], [1.5274, -1.5274, 7.3021], [1.5274, 1.5274, -7.3021]],
  "species": ["V", "V", "V", "V", "Zn"],
  "frac_coords": [[0.1038, 0.1038, 0.0000], [0.2994, 0.2994, 0.0000], [0.7006, 0.7006, 0.0000], [0.8962, 0.8962, 0.0000], [0.5000, 0.5000, 0.0000]]
}



[3]
{
  "formula": "V8Zn",
  "functional": "GGA-PBE",
  "state": "optimized geometry",
  "spacegroup": "No. 139",
  "magnetic_moment_mub_per_fu": 0.000,
  "dft_energy_ev_per_atom": -8.24,
  "lattice_angstrom": [[-4.4451, 4.4451, 1.5426], [4.4451, -4.4451, 1.5426], [4.4451, 4.4451, -1.5426]],
  "species": ["V", "V", "V", "V", "V", "V", "V", "V", "Zn"],
  "frac_coords": [[0.0000, 0.3333, 0.3333], [0.0000, 0.6667, 0.6667], [0.3292, 0.3292, 0.6585], [0.3292, 0.6708, 0.0000], [0.3333, 0.0000, 0.3333], [0.6667, 0.0000, 0.6667], [0.6708, 0.3292, 0.0000], [0.6708, 0.6708, 0.3415], [0.0000, 0.0000, 0.0000]]
}